The following is a PBE with a Hubbard U calculation of PuUVO6 after structural relaxation, from Alexandria.

```
PuUVO6
1.0
5.397 0.000 0.000
-2.698 4.674 0.000
0.000 0.000 9.854
Pu U V O
2 2 2 12
Direct
0.000 0.000 0.000 Pu
0.000 0.000 0.500 Pu
0.333 0.667 0.250 U
0.667 0.333 0.750 U
0.333 0.667 0.750 V
0.667 0.333 0.250 V
0.005 0.345 0.636 O
0.005 0.659 0.864 O
0.341 0.345 0.864 O
0.341 0.995 0.636 O
0.345 0.005 0.136 O
0.345 0.341 0.364 O
0.655 0.659 0.636 O
0.655 0.995 0.864 O
0.659 0.005 0.364 O
0.659 0.655 0.136 O
0.995 0.341 0.136 O
0.995 0.655 0.364 O
```

The total magnetization comes out at 7.02 μB/f.u. For the density of states at the Fermi level, the calculation gives 0.67 states/eV/atom. The total energy is -88.11 eV/f.u. The symmetry is P-31c (163).